No. 1
VASP calculation (PBE) on a relaxed structure of Li2LuAl.

a = 4.7933 Å, b = 4.7933 Å, c = 4.7933 Å
α = 60.00°, β = 60.00°, γ = 60.00°
With the nearest neighbours (Å) after each atom.
Positions (direct):
Li 0.0000 0.0000 0.0000  4 Li 2.94, 4 Lu 2.94
Li 0.7500 0.7500 0.7500  4 Li 2.94, 4 Al 2.94
Lu 0.2500 0.2500 0.2500  4 Li 2.94, 4 Al 2.94
Al 0.5000 0.5000 0.5000  4 Li 2.94, 4 Lu 2.94

Its total moment is 0.000 Bohr magnetons per cell. Its space-group type is F-43m, No. 216. Its total energy is -3.1128 eV per atom.


No. 2
VASP calculation (PBE) on a relaxed structure of Lu4GaBiN2.

a = 3.4574 Å, b = 3.4574 Å, c = 14.5884 Å
α = 90.00°, β = 90.00°, γ = 120.00°
With the nearest neighbours (Å) after each atom.
Positions (direct):
Lu 0.0000 0.0000 0.6545  3 N 2.40
Lu 0.6667 0.3333 0.1713  3 N 2.33
Lu 0.6667 0.3333 0.8287  3 N 2.33
Lu 0.0000 0.0000 0.3455  3 N 2.40
Bi 0.0000 0.0000 0.0000  6 Lu 3.20, 6 Bi 3.46
N 0.3333 0.6667 0.2539  6 Lu 2.33-2.40
N 0.3333 0.6667 0.7461  6 Lu 2.33-2.40
Ga 0.6667 0.3333 0.5000  6 Lu 3.01

Its total moment is 0.002 Bohr magnetons per cell. Its space-group type is P-6m2, No. 187. Its total energy is -6.3404 eV per atom.


No. 3
VASP calculation (PBE) on a relaxed structure of ReC.

a = 2.8804 Å, b = 2.8804 Å, c = 2.8213 Å
α = 90.00°, β = 90.00°, γ = 120.00°
With the nearest neighbours (Å) after each atom.
Positions (direct):
Re 0.3333 0.6667 0.2500  6 C 2.18
C 0.6667 0.3333 0.7500  6 Re 2.18

Its total moment is 0.001 Bohr magnetons per cell. Its space-group type is P-6m2, No. 187. The calculation puts the polymorph energy (0 for the lowest one) at 0 meV per atom.


No. 4
VASP calculation (PBE) on a relaxed structure of InPt3Pb5.

a = 5.6543 Å, b = 5.6543 Å, c = 8.3972 Å
α = 90.00°, β = 90.00°, γ = 120.00°
With the nearest neighbours (Å) after each atom.
Positions (direct):
Pt 0.0000 0.5000 0.5000  4 Pt 2.83, 6 Pb 2.83-2.99
Pt 0.5000 0.0000 0.5000  6 Pb 2.83-2.99, 4 Pt 2.83
Pt 0.5000 0.5000 0.5000  4 Pt 2.83, 6 Pb 2.83-2.99
Pb 0.6667 0.3333 0.7990  3 Pt 2.99, 3 Pb 3.26
Pb 0.3333 0.6667 0.2010  3 Pt 2.99, 3 Pb 3.26
Pb 0.6667 0.3333 0.2010  3 Pt 2.99, 3 Pb 3.26
Pb 0.0000 0.0000 0.5000  6 Pt 2.83
Pb 0.3333 0.6667 0.7990  3 Pt 2.99, 3 Pb 3.26
In 0.0000 0.0000 0.0000  12 Pb 3.68

Its total moment is 0.008 Bohr magnetons per cell. Its space-group type is P6/mmm, No. 191. Its total energy is -4.4563 eV per atom.